First-principles (SCAN) data for Na5VO5 at its PBEsol-relaxed geometry, as listed in Alexandria via LeMat-Bulk.

```
Na5VO5
1.0
5.762 0.000 0.000
0.000 6.575 0.000
0.000 0.000 16.008
V Na O
4 20 20
direct
0.214 0.250 0.407
0.786 0.750 0.593
0.214 0.750 0.093
0.786 0.250 0.907
0.673 0.750 0.916
0.518 0.000 0.750
0.482 0.500 0.250
0.996 0.250 0.231
0.783 0.514 0.418
0.996 0.750 0.269
0.217 0.514 0.918
0.783 0.014 0.082
0.482 0.000 0.250
0.783 0.986 0.418
0.327 0.750 0.416
0.217 0.014 0.582
0.673 0.250 0.584
0.004 0.750 0.769
0.004 0.250 0.731
0.518 0.500 0.750
0.217 0.986 0.918
0.783 0.486 0.082
0.327 0.250 0.084
0.217 0.486 0.582
0.357 0.750 0.827
0.158 0.961 0.153
0.493 0.750 0.054
0.842 0.461 0.847
0.020 0.250 0.488
0.980 0.750 0.512
0.507 0.250 0.946
0.980 0.250 0.988
0.842 0.961 0.653
0.357 0.250 0.673
0.643 0.750 0.327
0.842 0.039 0.847
0.507 0.750 0.554
0.643 0.250 0.173
0.158 0.039 0.347
0.842 0.539 0.653
0.158 0.539 0.153
0.158 0.461 0.347
0.020 0.750 0.012
0.493 0.250 0.446
```

- Crystal system: orthorhombic
- Energy above the lowest structure with this stoichiometry: 0.000 eV/atom
- DFT total energy: -92.8 eV per formula unit
- Magnetization: 0.1 μB/f.u.
- Space group: Pbcm, No. 57
- Uncorrected formation energy: -2226 kJ/mol of formula units